[1]
A geometry-optimized Tb2PuSb3 structure. Source: Alexandria via LeMat-Bulk, functional PBE-GGA.

VASP energy	-6.95	eV per atom
raw formation energy	-5.7	eV per formula unit

Geometry as POSCAR:
```
Tb2PuSb3
1.0
-1.066 -4.289 0.072
4.153 -1.108 -4.511
3.114 1.617 6.773
Sb Tb Pu
3 2 1
direct
0.834 0.334 0.168
0.500 0.000 0.500
0.166 0.666 0.832
0.167 0.167 0.834
0.833 0.833 0.166
0.500 0.500 0.500
```

***

[2]
A geometry-optimized CdCu2Te2 structure. Source: Alexandria via LeMat-Bulk, functional PBE-GGA.

VASP energy	-2.94	eV per atom
distance to the lowest polymorph of the same formula	78	kJ/mol of formula units
raw formation energy	0.7	eV per formula unit

Geometry as POSCAR:
```
CdCu2Te2
1.0
7.424 0.000 0.000
0.000 7.424 0.000
0.000 0.000 3.762
Te Cu Cd
4 4 2
direct
0.679 0.821 0.500
0.821 0.321 0.500
0.179 0.679 0.500
0.321 0.179 0.500
0.380 0.880 0.000
0.620 0.120 0.000
0.880 0.620 0.000
0.120 0.380 0.000
0.500 0.500 0.000
0.000 0.000 0.000
```

***

[3]
A geometry-optimized PaPRu2 structure. Source: Alexandria via LeMat-Bulk, functional PBE-GGA.

formation energy from the elements	-0.45	eV/atom
VASP energy	-8.82	eV per atom
distance to the lowest polymorph of the same formula	73	kJ/mol of formula units

Geometry as POSCAR:
```
PaPRu2
1.0
-2.214 2.335 2.030
0.098 -3.578 4.223
2.686 3.298 -0.897
Pa Ru P
1 2 1
direct
0.500 0.500 0.000
0.003 0.206 0.413
0.997 0.794 0.587
0.500 0.000 0.000
```

***

[4]
A geometry-optimized LaCdFe structure. Source: Alexandria via LeMat-Bulk, functional PBE-GGA.

formation energy from the elements	0.17	eV/atom
VASP energy	-4.60	eV per atom

Geometry as POSCAR:
```
LaCdFe
1.0
-1.813 -0.837 4.214
2.069 -3.440 -2.373
3.441 0.922 1.664
Cd La Fe
1 1 1
direct
0.000 0.000 0.167
0.333 0.667 0.667
0.667 0.333 0.167
```

***

Across the entries above, N(E_F) takes the values 2.5249; 0.4466; 0.8820; 1.6794 states/eV/atom, respectively.